First-principles (GGA-PBE) data for SrCaInBi after structural relaxation, as listed in the Alexandria database.

The space group is F-43m (No. 216) and the conventional cell measures 8.078, 8.078 and 8.078 Å, with angles of 90.00, 90.00 and 90.00 degrees. The asymmetric unit holds Sr at (0.000, 0.000, 0.000), Ca at (0.000, 0.000, 0.500), In at (0.250, 0.250, 0.750) and Bi at (0.250, 0.250, 0.250).

Its formation energy is -0.559 eV/atom. Its total energy is -3.1344 eV per atom.